Material: KEuMo2O8
Method: DFT, PBE with a Hubbard U
State: relaxed

total moment	0.49	μB per atom
crystal system	triclinic
E	-7.414	eV/atom
calculated density	4.6	g/cm³

Cell: 5.4262 7.1052 10.9152 Å, 75.60 76.77 67.54°
Closest atoms and distances in Å follow each position.
Fractional positions:
Eu 0.8791 0.3132 0.9374  8 O 2.39-2.60
Mo 0.6132 0.9293 0.8295  4 O 1.76-1.85
O 0.1171 0.5615 0.8690  1 Mo 1.88
O 0.6921 0.3788 0.7466  1 Mo 1.82
O 0.5403 0.6907 0.9121  1 Mo 1.85
O 0.8210 0.9122 0.6803  1 Mo 1.76
O 0.8829 0.4385 0.1310  1 Mo 1.88
O 0.5999 0.1935 0.3465  1 Mo 1.77
O 0.2029 0.0150 0.0698  1 Mo 1.84
O 0.7971 0.9850 0.9302  1 Mo 1.84
O 0.3079 0.6212 0.2534  1 Mo 1.82
Mo 0.6399 0.4371 0.2838  4 O 1.76-1.88
K 0.8857 0.8038 0.4428  6 O 2.68-2.92
K 0.1143 0.1962 0.5572  6 O 2.68-2.92
O 0.4597 0.3093 0.0879  1 Mo 1.85
O 0.4001 0.8065 0.6535  1 Mo 1.77
O 0.1790 0.0878 0.3197  1 Mo 1.76
O 0.6962 0.8585 0.1931  1 Mo 1.80
Eu 0.1209 0.6868 0.0626  8 O 2.39-2.60
O 0.2485 0.5013 0.5973  1 Mo 1.76
O 0.3038 0.1415 0.8069  1 Mo 1.80
O 0.7515 0.4987 0.4027  1 Mo 1.76
Mo 0.3868 0.0707 0.1705  4 O 1.76-1.85
Mo 0.3601 0.5629 0.7162  4 O 1.76-1.88